LaMnO2 | PBE with a Hubbard U | optimized geometry

Cell lengths 3.8624, 3.8624, 17.6803 Å; angles 90.00, 90.00, 120.00 degrees
Space group R-3m (No. 166, hexagonal axes)
Asymmetric unit:
La1 0.0000 0.0000 0.0000
Mn1 0.0000 0.0000 0.5000
O1 0.0000 0.0000 0.3919

* calculated volume: 228.4 Å³/cell
* DOS(E_F): 0.0 states/eV/cell
* electronic total energy: -7.948 eV/atom
* spin magnetization: 4.00 μB/f.u.